Below is an optimized crystal structure of Cs3Sn4Ge, with properties calculated at the PBE-GGA level.

## Properties
Its theoretical density is 4.53 g/cm³. Its density of states at the Fermi level is 3.417 states/eV/cell. Its volume is 694 Å³/cell. As for the final energy: -0.1143 hartree per atom. Its calculated formation energy is -211 meV/atom.

Unit cell a=6.6438 b=7.2830 c=14.3483 alpha=90.00 beta=90.00 gamma=90.00
Last column: nearest neighbours and their distance in Å.
Atoms (fractional coordinates):
1 Cs 0.5457 0.0000 0.0000  2 Ge 3.77, 4 Sn 3.77-3.89
2 Cs 0.4543 0.5000 0.5000  2 Ge 3.77, 4 Sn 3.77-3.89
3 Cs 0.8203 0.5000 0.7467  1 Ge 3.74, 4 Sn 3.88-4.14
4 Cs 0.8203 0.5000 0.2533  1 Ge 3.74, 4 Sn 3.88-4.14
5 Cs 0.1797 0.0000 0.7533  1 Ge 3.74, 4 Sn 3.88-4.14
6 Cs 0.1797 0.0000 0.2467  1 Ge 3.74, 4 Sn 3.88-4.14
7 Ge 0.6899 0.5000 0.0000  4 Sn 2.87-2.89
8 Ge 0.3101 0.0000 0.5000  4 Sn 2.87-2.89
9 Sn 0.3255 0.5000 0.8898  1 Ge 2.89, 3 Sn 3.03-3.16
10 Sn 0.3255 0.5000 0.1102  1 Ge 2.89, 3 Sn 3.03-3.16
11 Sn 0.0353 0.2628 0.0000  1 Ge 2.87, 2 Sn 3.03
12 Sn 0.0353 0.7372 0.0000  1 Ge 2.87, 2 Sn 3.03
13 Sn 0.9647 0.7628 0.5000  1 Ge 2.87, 2 Sn 3.03
14 Sn 0.9647 0.2372 0.5000  1 Ge 2.87, 2 Sn 3.03
15 Sn 0.6745 0.0000 0.3898  1 Ge 2.89, 3 Sn 3.03-3.16
16 Sn 0.6745 0.0000 0.6102  1 Ge 2.89, 3 Sn 3.03-3.16